Density functional theory data (PBE) for a geometry-optimized CaAsSe2O structure.

Output
The uncorrected formation energy comes out at -0.39 eV per atom. For the energy above the most stable polymorph in this dataset, the calculation gives 0.0 meV per atom. The space group is P4/mmm, No. 123.

abc: 4.7768 4.7768 4.2582
angles: 90.00 90.00 90.00
Atoms (fractional coordinates):
Ca  0.0000  0.0000  0.0000
As  0.5000  0.5000  0.0000
Se  0.0000  0.5000  0.5000
Se  0.5000  0.0000  0.5000
O  0.5000  0.5000  0.5000